Sr2MnPb | SCAN | PBEsol geometry

```
Sr2MnPb
1.0
4.064 0.000 0.000
0.000 5.536 0.087
0.000 -0.089 5.536
Sr Mn Pb
2 1 1
Cartesian
0.000 -0.045 2.768
0.000 2.768 0.044
2.032 2.723 2.812
2.032 0.000 0.000
```

Uncorrected energy, eV per atom: -34.918
Density of states at the Fermi level, states/eV per atom: 0.575

***

AgAsPtSe2 | SCAN | PBEsol geometry

```
AgAsPtSe2
1.0
-0.541 -4.738 -0.577
0.549 -0.647 4.802
-4.814 0.475 0.615
Se Ag As Pt
2 1 1 1
Cartesian
-2.407 0.237 0.307
0.275 -0.324 2.401
0.000 0.000 0.000
-0.270 -2.369 -0.288
-2.403 -2.455 2.420
```

Uncorrected energy, eV per atom: -31.086
Density of states at the Fermi level, states/eV per atom: 1.240
E_form (uncorrected), eV/atom: 1.30

***

ZnSn2OsRh | SCAN | PBEsol geometry

```
ZnSn2OsRh
1.0
4.707 0.000 0.000
0.000 4.977 0.000
0.000 0.000 4.977
Zn Sn Os Rh
1 2 1 1
Cartesian
2.353 2.488 2.488
0.000 2.488 0.000
0.000 0.000 2.488
2.353 0.000 0.000
0.000 0.000 0.000
```

Uncorrected energy, eV per atom: -37.093
Density of states at the Fermi level, states/eV per atom: 0.850

***

NaMnBi | SCAN | PBEsol geometry

```
NaMnBi
1.0
4.438 0.000 0.000
0.000 4.438 0.000
0.000 0.000 7.567
Mn Bi Na
2 2 2
Cartesian
2.219 2.219 0.000
0.000 0.000 0.000
0.000 2.219 1.696
2.219 0.000 5.871
0.000 2.219 4.990
2.219 0.000 2.577
```

Uncorrected energy, eV per atom: -33.919
Density of states at the Fermi level, states/eV per atom: 0.489

***

Zr2AlNiAu | SCAN | PBEsol geometry

```
Zr2AlNiAu
1.0
4.589 0.000 0.000
0.000 5.028 0.000
0.000 0.000 5.028
Zr Ni Al Au
2 1 1 1
Cartesian
0.000 2.514 0.000
0.000 0.000 2.514
2.294 0.000 0.000
2.294 2.514 2.514
0.000 0.000 0.000
```

Uncorrected energy, eV per atom: -30.331
Density of states at the Fermi level, states/eV per atom: 0.865

***

Cu2RhAu | SCAN | PBEsol geometry

```
Cu2RhAu
1.0
-2.197 1.625 -0.204
-1.284 -1.222 4.087
3.775 2.864 0.565
Rh Cu Au
1 2 1
Cartesian
2.038 3.048 2.335
-0.160 2.250 1.245
-1.200 -1.118 4.014
0.368 0.930 3.447
```

Uncorrected energy, eV per atom: -33.281
Density of states at the Fermi level, states/eV per atom: 0.569

***

TaIn2Os | SCAN | PBEsol geometry

```
TaIn2Os
1.0
-0.136 -2.649 -1.296
2.687 1.107 0.523
0.060 -4.116 8.407
Ta Os In
1 1 2
Cartesian
1.275 -0.771 -0.387
1.306 -2.829 3.817
0.016 -1.079 2.204
0.045 -3.037 6.204
```

Uncorrected energy, eV per atom: -50.784
E above lowest polymorph, meV/atom: 472
Density of states at the Fermi level, states/eV per atom: 0.750

***

Ba2CrRe | SCAN | PBEsol geometry

```
Ba2CrRe
1.0
3.725 0.000 0.000
0.000 5.429 0.000
-1.862 -2.714 5.709
Ba Cr Re
2 1 1
Cartesian
1.862 0.000 3.031
1.862 2.714 5.434
1.862 2.714 0.827
0.000 2.714 2.127
```

Uncorrected energy, eV per atom: -41.407
E above lowest polymorph, meV/atom: 0
Density of states at the Fermi level, states/eV per atom: 0.865